A geometry-optimized Nd2TiMn2N6 structure. Source: Alexandria via LeMat-Bulk, functional PBE-GGA.

The calculation puts the density of states at the Fermi level at 13.888 states/eV per cell. The uncorrected formation energy is -0.7417 eV per atom.

It has space group R-3m (No. 166, hexagonal axes), with a = 5.6555 Å, b = 5.6555 Å, c = 15.5927 Å, α = 90.00°, β = 90.00° and γ = 120.00°. The asymmetric unit holds Nd at (0.0000, 0.0000, 0.2216), Ti at (0.0000, 0.0000, 0.0000), Mn at (0.0000, 0.0000, 0.4359) and N at (0.0110, 0.5055, 0.7480).

A geometry-optimized Th4AsOsSe2 structure. Source: Alexandria via LeMat-Bulk, functional PBE-GGA.

The calculation puts the density of states at the Fermi level at 6.388 states/eV per cell. The uncorrected formation energy is -1.2356 eV per atom.

It has space group P2/m (No. 10), with a = 7.432 Å, b = 4.134 Å, c = 7.458 Å, α = 90.00°, β = 108.72° and γ = 90.00°. The asymmetric unit holds Th at (0.222, 0.000, 0.226), Th at (0.237, 0.500, 0.755), As at (0.000, 0.000, 0.500), Os at (0.000, 0.500, 0.000), Se at (0.500, 0.000, 0.000) and Se at (0.500, 0.500, 0.500).

A geometry-optimized P2PdRuRh structure. Source: Alexandria via LeMat-Bulk, functional PBE-GGA.

As for the formation energy from the elements: 0.86 eV per atom. The calculation puts the density of states at the Fermi level at 4.468 states/eV per cell.

It has space group P4/mmm (No. 123), with a = 4.355 Å, b = 4.355 Å, c = 5.026 Å, α = 90.00°, β = 90.00° and γ = 90.00°. The asymmetric unit holds P at (0.000, 0.500, 0.000), Pd at (0.000, 0.000, 0.500), Ru at (0.000, 0.000, 0.000) and Rh at (0.500, 0.500, 0.500).

A geometry-optimized USiNi2 structure. Source: Alexandria via LeMat-Bulk, functional PBE-GGA.

The calculation puts the density of states at the Fermi level at 4.954 states/eV per cell. The uncorrected formation energy is -0.2921 eV per atom.

It has space group P4/mmm (No. 123), with a = 2.779 Å, b = 2.779 Å, c = 7.118 Å, α = 90.00°, β = 90.00° and γ = 90.00°. The asymmetric unit holds U at (0.000, 0.000, 0.000), Si at (0.000, 0.000, 0.500) and Ni at (0.500, 0.500, 0.313).

A geometry-optimized SrCl structure. Source: Alexandria via LeMat-Bulk, functional PBE-GGA.

The calculation puts the density of states at the Fermi level at 11.114 states/eV per cell. The uncorrected formation energy is -1.6872 eV per atom.

It has space group I4/m (No. 87), with a = 11.502 Å, b = 11.502 Å, c = 4.075 Å, α = 90.00°, β = 90.00° and γ = 90.00°. The asymmetric unit holds Sr at (0.063, 0.290, 0.000) and Cl at (0.123, 0.811, 0.500).

A geometry-optimized PmThCuOs structure. Source: Alexandria via LeMat-Bulk, functional PBE-GGA.

As for the formation energy from the elements: -0.14 eV per atom. The calculation puts the density of states at the Fermi level at 19.626 states/eV per cell.

It has space group F-43m (No. 216), with a = 7.105 Å, b = 7.105 Å, c = 7.105 Å, α = 90.00°, β = 90.00° and γ = 90.00°. The asymmetric unit holds Pm at (0.000, 0.000, 0.000), Th at (0.000, 0.000, 0.500), Cu at (0.250, 0.250, 0.750) and Os at (0.250, 0.250, 0.250).

A geometry-optimized BeNiRh2 structure. Source: Alexandria via LeMat-Bulk, functional PBE-GGA.

As for the formation energy from the elements: -0.13 eV per atom. The calculation puts the density of states at the Fermi level at 5.179 states/eV per cell.

It has space group P2/m (No. 10), with a = 2.692 Å, b = 3.652 Å, c = 5.063 Å, α = 90.00°, β = 101.57° and γ = 90.00°. The asymmetric unit holds Be at (0.000, 0.000, 0.000), Ni at (0.000, 0.000, 0.500) and Rh at (0.374, 0.500, 0.235).

A geometry-optimized SrLa2Tc structure. Source: Alexandria via LeMat-Bulk, functional PBE-GGA.

As for the formation energy from the elements: 0.67 eV per atom. As for the energy above the most stable polymorph in this dataset: 2.27 eV per formula unit. The calculation puts the density of states at the Fermi level at 10.136 states/eV per cell.

It has space group C2/m (No. 12), with a = 6.984 Å, b = 10.906 Å, c = 3.396 Å, α = 90.00°, β = 118.11° and γ = 90.00°. The asymmetric unit holds Sr at (0.000, 0.000, 0.000), La at (0.250, 0.250, 0.500) and Tc at (0.000, 0.500, 0.000).